Entry 1:
DFT (GGA-PBE) results for crystalline NaTlTe2 at its relaxed geometry.

Calculated density: 6.2 Mg/m³
Raw total energy: -2.8191 eV/atom

Cell and atoms, written as CIF:
```
data_NaTlTe2
_cell_length_a 4.590
_cell_length_b 4.168
_cell_length_c 6.953
_cell_angle_alpha 90.00
_cell_angle_beta 103.55
_cell_angle_gamma 90.00
_symmetry_space_group_name_H-M 'P 1 m 1'
_symmetry_Int_Tables_number 6
_symmetry_space_group_name_Hall 'P -2y'
loop_
_atom_site_label
_atom_site_fract_x
_atom_site_fract_y
_atom_site_fract_z
_atom_site_occupancy
Na1 0.000 0.000 0.000 1
Tl1 0.335 0.500 0.599 1
Te1 0.517 0.500 0.044 1
Te2 0.782 0.000 0.448 1
```

Entry 2:
DFT (GGA-PBE) results for crystalline Na2Tl3Te3 at its relaxed geometry.

Calculated density: 6.7 Mg/m³
Raw total energy: -2.8466 eV/atom

Cell and atoms, written as CIF:
```
data_Na2Tl3Te3
_cell_length_a 9.4203
_cell_length_b 9.4203
_cell_length_c 6.7240
_cell_angle_alpha 90.00
_cell_angle_beta 90.00
_cell_angle_gamma 120.00
_symmetry_space_group_name_H-M 'P 63/m c m'
_symmetry_Int_Tables_number 193
_symmetry_space_group_name_Hall '-P 6c 2'
loop_
_atom_site_label
_atom_site_fract_x
_atom_site_fract_y
_atom_site_fract_z
_atom_site_occupancy
Na1 0.3333 0.6667 0.0000 1
Tl1 0.0000 0.2385 0.2500 1
Te1 0.0000 0.4204 0.7500 1
```

Entry 3:
DFT (GGA-PBE) results for crystalline NaTlTe at its relaxed geometry.

Calculated density: 5.1 Mg/m³
Raw total energy: -2.8245 eV/atom

Cell and atoms, written as CIF:
```
data_NaTlTe
_cell_length_a 7.729
_cell_length_b 7.729
_cell_length_c 7.729
_cell_angle_alpha 90.00
_cell_angle_beta 90.00
_cell_angle_gamma 90.00
_symmetry_space_group_name_H-M 'F -4 3 m'
_symmetry_Int_Tables_number 216
_symmetry_space_group_name_Hall 'F -4 2 3'
loop_
_atom_site_label
_atom_site_fract_x
_atom_site_fract_y
_atom_site_fract_z
_atom_site_occupancy
Na1 0.000 0.000 0.000 1
Tl1 0.000 0.000 0.500 1
Te1 0.250 0.250 0.250 1
```

Entry 4:
DFT (GGA-PBE) results for crystalline NaTlTe at its relaxed geometry.

Calculated density: 6.4 Mg/m³
Raw total energy: -2.8559 eV/atom

Cell and atoms, written as CIF:
```
data_NaTlTe
_cell_length_a 5.4308
_cell_length_b 5.4308
_cell_length_c 7.2581
_cell_angle_alpha 90.00
_cell_angle_beta 90.00
_cell_angle_gamma 120.00
_symmetry_space_group_name_H-M 'P 63/m m c'
_symmetry_Int_Tables_number 194
_symmetry_space_group_name_Hall '-P 6c 2c'
loop_
_atom_site_label
_atom_site_fract_x
_atom_site_fract_y
_atom_site_fract_z
_atom_site_occupancy
Na1 0.3333 0.6667 0.2500 1
Tl1 0.0000 0.0000 0.0000 1
Te1 0.3333 0.6667 0.7500 1
```

Entry 5:
DFT (GGA-PBE) results for crystalline NaTlTe at its relaxed geometry.

Calculated density: 5.5 Mg/m³
Raw total energy: -2.8002 eV/atom

Cell and atoms, written as CIF:
```
data_NaTlTe
_cell_length_a 4.8406
_cell_length_b 4.8406
_cell_length_c 5.2971
_cell_angle_alpha 90.00
_cell_angle_beta 90.00
_cell_angle_gamma 120.00
_symmetry_space_group_name_H-M 'P 3 m 1'
_symmetry_Int_Tables_number 156
_symmetry_space_group_name_Hall 'P 3 -2"'
loop_
_atom_site_label
_atom_site_fract_x
_atom_site_fract_y
_atom_site_fract_z
_atom_site_occupancy
Na1 0.0000 0.0000 0.0000 1
Tl1 0.3333 0.6667 0.5571 1
Te1 0.6667 0.3333 0.2407 1
```

Entry 6:
DFT (GGA-PBE) results for crystalline NaTlTe2 at its relaxed geometry.

Calculated density: 6.6 Mg/m³
Raw total energy: -2.8433 eV/atom

Cell and atoms, written as CIF:
```
data_NaTlTe2
_cell_length_a 5.002
_cell_length_b 5.002
_cell_length_c 4.886
_cell_angle_alpha 90.00
_cell_angle_beta 90.00
_cell_angle_gamma 90.00
_symmetry_space_group_name_H-M 'P 4/m m m'
_symmetry_Int_Tables_number 123
_symmetry_space_group_name_Hall '-P 4 2'
loop_
_atom_site_label
_atom_site_fract_x
_atom_site_fract_y
_atom_site_fract_z
_atom_site_occupancy
Na1 0.000 0.000 0.000 1
Tl1 0.500 0.500 0.000 1
Te1 0.000 0.500 0.500 1
```

What did the third record say?
DFT (GGA-PBE) results for crystalline NaTlTe at its relaxed geometry.

Calculated density: 5.1 Mg/m³
Raw total energy: -2.8245 eV/atom

Cell and atoms, written as CIF:
```
data_NaTlTe
_cell_length_a 7.729
_cell_length_b 7.729
_cell_length_c 7.729
_cell_angle_alpha 90.00
_cell_angle_beta 90.00
_cell_angle_gamma 90.00
_symmetry_space_group_name_H-M 'F -4 3 m'
_symmetry_Int_Tables_number 216
_symmetry_space_group_name_Hall 'F -4 2 3'
loop_
_atom_site_label
_atom_site_fract_x
_atom_site_fract_y
_atom_site_fract_z
_atom_site_occupancy
Na1 0.000 0.000 0.000 1
Tl1 0.000 0.000 0.500 1
Te1 0.250 0.250 0.250 1
```

Repeat the second record exactly.
DFT (GGA-PBE) results for crystalline Na2Tl3Te3 at its relaxed geometry.

Calculated density: 6.7 Mg/m³
Raw total energy: -2.8466 eV/atom

Cell and atoms, written as CIF:
```
data_Na2Tl3Te3
_cell_length_a 9.4203
_cell_length_b 9.4203
_cell_length_c 6.7240
_cell_angle_alpha 90.00
_cell_angle_beta 90.00
_cell_angle_gamma 120.00
_symmetry_space_group_name_H-M 'P 63/m c m'
_symmetry_Int_Tables_number 193
_symmetry_space_group_name_Hall '-P 6c 2'
loop_
_atom_site_label
_atom_site_fract_x
_atom_site_fract_y
_atom_site_fract_z
_atom_site_occupancy
Na1 0.3333 0.6667 0.0000 1
Tl1 0.0000 0.2385 0.2500 1
Te1 0.0000 0.4204 0.7500 1
```

- Which of these has the lowest calculated density?
  number 3